CaFe3Se (PBE-GGA, optimized geometry); distance to the lowest polymorph of the same formula = 1.550 eV/atom; formation energy without anion corrections = 1.89 eV/atom; calculated density = 4.72 Mg/m³
1.0
4.655 0.000 0.000
0.000 4.655 0.000
0.000 0.000 4.655
Ca Fe Se
1 3 1
Direct
0.000 0.000 0.000
0.000 0.000 0.500
0.000 0.500 0.000
0.500 0.000 0.000
0.500 0.500 0.500